Record 1
## Ba2SrLiPd (PBE)

Data for crystalline Ba2SrLiPd at its relaxed geometry.

abc: 6.2713 6.2713 6.0361
angles: 90.00 90.00 90.00
Last column: nearest neighbours and their distance in Å.
Fractional coordinates of all 5 atoms:
Ba 0.0000 0.5000 0.0000  2 Pd 3.14
Ba 0.5000 0.0000 0.0000  2 Pd 3.14
Sr 0.0000 0.0000 0.5000  2 Pd 3.02
Li 0.5000 0.5000 0.5000  8 Ba 4.35, 4 Sr 4.43
Pd 0.0000 0.0000 0.0000  2 Sr 3.02, 4 Ba 3.14

Properties
V (Å³/atom): 47.480
Energy of formation (eV/atom): -0.21
Calculated density (g cm⁻³): 3.33

***

Record 2
## MgNi2 (PBE)

Data for crystalline MgNi2 at its relaxed geometry.

abc: 5.5373 5.5373 5.5373
angles: 151.37 151.37 40.93
Last column: nearest neighbours and their distance in Å.
Fractional coordinates of all 3 atoms:
Mg 0.0000 0.0000 0.0000  8 Ni 2.68, 4 Mg 2.74
Ni 0.3212 0.3212 0.0000  4 Ni 2.44, 4 Mg 2.68
Ni 0.6788 0.6788 0.0000  4 Ni 2.44, 4 Mg 2.68

Properties
V (Å³/atom): 12.962
Energy of formation (eV/atom): -0.04
Calculated density (g cm⁻³): 6.05

***

Record 3
## CeGdErSc (PBE)

Data for crystalline CeGdErSc at its relaxed geometry.

abc: 5.5185 5.5185 5.5185
angles: 60.00 60.00 60.00
Last column: nearest neighbours and their distance in Å.
Fractional coordinates of all 4 atoms:
Ce 0.0000 0.0000 0.0000  4 Er 3.38, 4 Sc 3.38
Gd 0.5000 0.5000 0.5000  4 Er 3.38, 4 Sc 3.38
Er 0.2500 0.2500 0.2500  4 Gd 3.38, 4 Ce 3.38
Sc 0.7500 0.7500 0.7500  4 Gd 3.38, 4 Ce 3.38

Properties
V (Å³/atom): 29.710
Energy of formation (eV/atom): 0.13
Calculated density (g cm⁻³): 7.12

***

Record 4
## Ba2LiAl2 (PBE)

Data for crystalline Ba2LiAl2 at its relaxed geometry.

abc: 6.7819 6.7819 6.7819
angles: 135.96 130.40 68.47
Last column: nearest neighbours and their distance in Å.
Fractional coordinates of all 5 atoms:
Ba 0.1905 0.1905 0.0000  2 Li 3.56, 6 Al 3.64-3.73
Ba 0.8095 0.8095 0.0000  2 Li 3.56, 6 Al 3.64-3.73
Li 0.5000 0.0000 0.5000  4 Al 2.89
Al 0.2599 0.5000 0.7599  2 Al 2.73-2.96, 2 Li 2.89
Al 0.7401 0.5000 0.2401  2 Al 2.73-2.96, 2 Li 2.89

Properties
V (Å³/atom): 32.445
Energy of formation (eV/atom): -0.07
Calculated density (g cm⁻³): 3.43

***

Record 5
## LiLaZn2 (PBE)

Data for crystalline LiLaZn2 at its relaxed geometry.

abc: 3.4157 3.4157 7.1473
angles: 90.00 90.00 90.00
Last column: nearest neighbours and their distance in Å.
Fractional coordinates of all 4 atoms:
Li 0.0000 0.0000 0.0000  8 Zn 2.78
La 0.0000 0.0000 0.5000  8 Zn 3.27, 4 La 3.42, 2 Li 3.57
Zn 0.5000 0.5000 0.1922  1 Zn 2.75, 4 Li 2.78
Zn 0.5000 0.5000 0.8078  1 Zn 2.75, 4 Li 2.78

Properties
V (Å³/atom): 20.847
Energy of formation (eV/atom): -0.18
Calculated density (g cm⁻³): 5.51

***

Record 6
## Li8In2Ag (PBE)

Data for crystalline Li8In2Ag at its relaxed geometry.

abc: 4.6848 5.4874 8.0507
angles: 88.90 74.02 89.66
Last column: nearest neighbours and their distance in Å.
Fractional coordinates of all 11 atoms:
Li 0.0399 0.2434 0.4237  2 Ag 2.79-2.81, 6 Li 2.81-3.07, 1 In 2.85
Li 0.1449 0.6636 0.2110  7 Li 2.79-2.92, 2 In 2.85-3.09
Li 0.3231 0.5973 0.8529  4 Li 2.79-2.80, 1 Ag 2.79, 3 In 2.82-2.95
Li 0.4052 0.0548 0.6888  6 Li 2.79-3.00, 1 Ag 2.82, 1 In 2.95
Li 0.5948 0.9452 0.3112  6 Li 2.79-3.00, 1 Ag 2.82, 1 In 2.95
Li 0.6769 0.4027 0.1471  4 Li 2.79-2.80, 1 Ag 2.79, 3 In 2.82-2.95
Li 0.8551 0.3364 0.7890  7 Li 2.79-2.92, 2 In 2.85-3.09
Li 0.9601 0.7566 0.5763  2 Ag 2.79-2.81, 6 Li 2.81-3.07, 1 In 2.85
In 0.2185 0.1438 0.0635  7 Li 2.82-3.09, 2 In 3.00
In 0.7815 0.8562 0.9365  7 Li 2.82-3.09, 2 In 3.00
Ag 0.5000 0.5000 0.5000  8 Li 2.79-2.82

Properties
V (Å³/atom): 18.084
Energy of formation (eV/atom): -0.21
Calculated density (g cm⁻³): 3.28

***

Record 7
## K2MnBeH6 (PBE)

Data for crystalline K2MnBeH6 at its relaxed geometry.

abc: 5.3245 5.3245 5.3245
angles: 119.90 119.90 90.17
Last column: nearest neighbours and their distance in Å.
Fractional coordinates of all 10 atoms:
K 0.2500 0.7500 0.5000  12 H 2.67
K 0.7500 0.2500 0.5000  12 H 2.67
Mn 0.0000 0.0000 0.0000  6 H 1.98-2.03
Be 0.5000 0.5000 0.0000  6 H 1.74-1.78
H 0.2637 0.2637 0.0000  1 Be 1.78, 1 Mn 1.98
H 0.2691 0.2691 0.5382  1 Be 1.74
H 0.2691 0.7309 0.0000  1 Be 1.74
H 0.7309 0.2691 0.0000  1 Be 1.74
H 0.7309 0.7309 0.4618  1 Be 1.74
H 0.7363 0.7363 0.0000  1 Be 1.78, 1 Mn 1.98

Properties
V (Å³/atom): 10.689
Calculated density (g cm⁻³): 2.30
Total energy (eV for the cell shown): -35.0

***

Record 8
## Pm3Pr4Er (PBE)

Data for crystalline Pm3Pr4Er at its relaxed geometry.

abc: 12.0513 12.0513 6.9720
angles: 106.74 106.74 16.89
Last column: nearest neighbours and their distance in Å.
Fractional coordinates of all 8 atoms:
Pm 0.0000 0.0000 0.0000  4 Pm 3.34-3.54, 2 Pr 3.34
Pm 0.1225 0.1225 0.3832  3 Pm 3.34-3.54, 5 Pr 3.34-3.64, 2 Er 3.70
Pm 0.8775 0.8775 0.6168  3 Pm 3.34-3.54, 5 Pr 3.34-3.64, 2 Er 3.70
Pr 0.1230 0.1230 0.8627  3 Pm 3.34-3.63, 5 Pr 3.54-3.65, 2 Er 3.72
Pr 0.2583 0.2583 0.2615  7 Pr 3.54-3.89, 3 Pm 3.58-3.64
Pr 0.7417 0.7417 0.7385  7 Pr 3.54-3.89, 3 Pm 3.58-3.64
Pr 0.8770 0.8770 0.1373  3 Pm 3.34-3.63, 5 Pr 3.54-3.65, 2 Er 3.72
Er 0.5000 0.5000 0.5000  2 Er 3.54, 8 Pm 3.70-3.91, 4 Pr 3.72

Properties
V (Å³/atom): 35.173
Energy of formation (eV/atom): 0.15
Calculated density (g cm⁻³): 6.88

***

Record 9
## Pa11Ga9Fe4 (PBE)

Data for crystalline Pa11Ga9Fe4 at its relaxed geometry.

abc: 12.2265 12.2265 3.4814
angles: 90.00 90.00 112.16
Last column: nearest neighbours and their distance in Å.
Fractional coordinates of all 24 atoms:
Pa 0.0000 0.0000 0.0000  8 Ga 3.07, 2 Pa 3.12
Pa 0.0625 0.4199 0.0000  2 Fe 2.75, 1 Pa 2.90, 4 Ga 3.03-3.05
Pa 0.1536 0.8464 0.0000  5 Pa 3.12-3.48, 8 Ga 3.14-3.18
Pa 0.3118 0.3118 0.0000  4 Fe 2.74
Pa 0.3743 0.6257 0.0000  4 Fe 2.76, 2 Ga 3.09
Pa 0.4199 0.0625 0.0000  2 Fe 2.75, 1 Pa 2.90, 4 Ga 3.03-3.05
Pa 0.5801 0.9375 0.0000  2 Fe 2.75, 1 Pa 2.90, 4 Ga 3.03-3.05
Pa 0.6257 0.3743 0.0000  4 Fe 2.76, 2 Ga 3.09
Pa 0.6882 0.6882 0.0000  4 Fe 2.74
Pa 0.8464 0.1536 0.0000  5 Pa 3.12-3.48, 8 Ga 3.14-3.18
Pa 0.9375 0.5801 0.0000  2 Fe 2.75, 1 Pa 2.90, 4 Ga 3.03-3.05
Ga 0.0809 0.2230 0.5000  1 Fe 2.73, 1 Ga 2.88, 2 Pa 3.05
Ga 0.1662 0.6379 0.5000  1 Ga 2.67, 1 Fe 2.82
Ga 0.2230 0.0809 0.5000  1 Fe 2.73, 1 Ga 2.88, 2 Pa 3.05
Ga 0.3621 0.8338 0.5000  1 Ga 2.67, 1 Fe 2.82
Ga 0.5000 0.5000 0.5000  4 Fe 2.94, 8 Pa 3.09-3.10
Ga 0.6379 0.1662 0.5000  1 Ga 2.67, 1 Fe 2.82
Ga 0.7770 0.9191 0.5000  1 Fe 2.73, 1 Ga 2.88, 2 Pa 3.05
Ga 0.8338 0.3621 0.5000  1 Ga 2.67, 1 Fe 2.82
Ga 0.9191 0.7770 0.5000  1 Fe 2.73, 1 Ga 2.88, 2 Pa 3.05
Fe 0.2452 0.4486 0.5000  3 Ga 2.73-2.94, 6 Pa 2.74-2.76
Fe 0.4486 0.2452 0.5000  3 Ga 2.73-2.94, 6 Pa 2.74-2.76
Fe 0.5514 0.7548 0.5000  3 Ga 2.73-2.94, 6 Pa 2.74-2.76
Fe 0.7548 0.5514 0.5000  3 Ga 2.73-2.94, 6 Pa 2.74-2.76

Properties
V (Å³/atom): 20.082
Energy of formation (eV/atom): -0.31
Calculated density (g cm⁻³): 11.69

***

Record 10
## Tb2ErC2 (PBE)

Data for crystalline Tb2ErC2 at its relaxed geometry.

abc: 6.3033 6.3033 7.3013
angles: 108.37 108.37 48.09
Last column: nearest neighbours and their distance in Å.
Fractional coordinates of all 10 atoms:
Tb 0.0073 0.0073 0.2313  4 C 2.41-2.58
Tb 0.3366 0.3366 0.9292  5 C 2.52-2.70
Tb 0.6634 0.6634 0.0708  5 C 2.52-2.70
Tb 0.9927 0.9927 0.7687  4 C 2.41-2.58
Er 0.3454 0.3454 0.4039  3 C 2.36-2.48
Er 0.6546 0.6546 0.5961  3 C 2.36-2.48
C 0.1682 0.1682 0.0909  5 Tb 2.41-2.59, 1 Er 2.48
C 0.4985 0.4985 0.7364  2 Er 2.36-2.46, 3 Tb 2.52-2.58
C 0.5015 0.5015 0.2636  2 Er 2.36-2.46, 3 Tb 2.52-2.58
C 0.8318 0.8318 0.9091  5 Tb 2.41-2.59, 1 Er 2.48

Properties
V (Å³/atom): 20.261
Energy of formation (eV/atom): -0.20
Calculated density (g cm⁻³): 8.35